No. 1
Density functional theory data (SCAN) for a PBEsol-optimized structure of LiTlMo4.

Electronic total energy = -210.58 eV for the cell shown
Spin magnetization = 0.000 μB per formula unit

```
LiTlMo4
1.0
0.0000 3.7154 3.7154
3.7154 0.0000 3.7154
3.7154 3.7154 0.0000
Li Tl Mo
1 1 4
Direct
0.0000 0.0000 0.0000
0.2500 0.2500 0.2500
0.1200 0.6266 0.6266
0.6266 0.1200 0.6266
0.6266 0.6266 0.1200
0.6266 0.6266 0.6266
```

---

No. 2
Density functional theory data (SCAN) for a PBEsol-optimized structure of LiTl2Mo.

Electronic total energy = -180.03 eV for the cell shown
Spin magnetization = 0.000 μB per formula unit
Relative energy among the computed polymorphs = 0.62 eV/f.u.

```
LiTl2Mo
1.0
3.7235 0.0000 0.0000
0.0000 3.7235 0.0000
0.0000 0.0000 5.7279
Li Tl Mo
1 2 1
Direct
0.0000 0.0000 0.0000
0.0000 0.0000 0.4429
0.5000 0.5000 0.7954
0.5000 0.5000 0.2843
```

---

No. 3
Density functional theory data (SCAN) for a PBEsol-optimized structure of LiTlMo.

Electronic total energy = -216.26 eV for the cell shown
Spin magnetization = 0.000 μB per formula unit

```
LiTlMo
1.0
2.8050 0.0000 0.0000
0.0000 2.8050 0.0000
0.0000 0.0000 13.5074
Li Tl Mo
2 2 2
Direct
0.0000 0.0000 0.0000
0.5000 0.5000 0.5000
0.0000 0.0000 0.3337
0.5000 0.5000 0.8337
0.0000 0.0000 0.6617
0.5000 0.5000 0.1617
```

---

No. 4
Density functional theory data (SCAN) for a PBEsol-optimized structure of LiTl2Mo.

Electronic total energy = -541.95 eV for the cell shown
Spin magnetization = 0.000 μB per formula unit
Relative energy among the computed polymorphs = 0.00 eV/f.u.

```
LiTl2Mo
1.0
3.0858 0.0000 0.0000
-1.5429 2.6724 0.0000
0.0000 0.0000 28.2617
Li Tl Mo
3 6 3
Direct
0.0000 0.0000 0.0000
0.3333 0.6667 0.6667
0.6667 0.3333 0.3333
0.0000 0.0000 0.2511
0.0000 0.0000 0.7489
0.3333 0.6667 0.4156
0.3333 0.6667 0.9178
0.6667 0.3333 0.0822
0.6667 0.3333 0.5844
0.0000 0.0000 0.5000
0.3333 0.6667 0.1667
0.6667 0.3333 0.8333
```

---

No. 5
Density functional theory data (SCAN) for a PBEsol-optimized structure of LiTl2Mo.

Electronic total energy = -180.63 eV for the cell shown
Spin magnetization = 0.639 μB per formula unit
Relative energy among the computed polymorphs = 0.02 eV/f.u.

```
LiTl2Mo
1.0
3.0523 0.0000 0.0000
0.0000 3.6537 0.0000
0.0000 0.0000 6.6040
Li Tl Mo
1 2 1
Direct
0.0000 0.0000 0.0000
0.5000 0.5000 0.2413
0.5000 0.5000 0.7587
0.0000 0.0000 0.5000
```

---

No. 6
Density functional theory data (SCAN) for a PBEsol-optimized structure of LiMoW2.

Electronic total energy = -349.55 eV for the cell shown
Spin magnetization = 0.000 μB per formula unit
Relative energy among the computed polymorphs = 0.64 eV/f.u.

```
LiMoW2
1.0
3.1544 0.0000 0.0000
0.0000 4.3748 0.0000
0.0000 0.0000 8.6056
Li Mo W
2 2 4
Direct
0.0000 0.0000 0.0000
0.5000 0.5000 0.5000
0.0000 0.5000 0.2443
0.5000 0.0000 0.7443
0.0000 0.0000 0.5033
0.0000 0.5000 0.7581
0.5000 0.0000 0.2581
0.5000 0.5000 0.0033
```

---

No. 7
Density functional theory data (SCAN) for a PBEsol-optimized structure of LiMoW2.

Electronic total energy = -349.54 eV for the cell shown
Spin magnetization = 0.000 μB per formula unit
Relative energy among the computed polymorphs = 0.64 eV/f.u.

```
LiMoW2
1.0
9.0380 0.0000 0.0000
0.0000 2.5719 0.0000
-0.3108 0.0000 5.1996
Li Mo W
2 2 4
Direct
0.0000 0.0000 0.0000
0.5000 0.5000 0.0000
0.2490 0.5000 0.2427
0.7490 0.0000 0.2427
0.0011 0.5000 0.4997
0.2516 0.0000 0.7568
0.5011 0.0000 0.4997
0.7516 0.5000 0.7568
```

---

No. 8
Density functional theory data (SCAN) for a PBEsol-optimized structure of LiMoW2.

Electronic total energy = -350.82 eV for the cell shown
Spin magnetization = 0.000 μB per formula unit
Relative energy among the computed polymorphs = 0.00 eV/f.u.

```
LiMoW2
1.0
3.1262 0.0000 0.0000
0.0000 4.3541 0.0000
0.0000 0.0000 9.1369
Li Mo W
2 2 4
Direct
0.0000 0.0000 0.0000
0.5000 0.5000 0.0000
0.0000 0.5000 0.7413
0.5000 0.0000 0.7413
0.0000 0.0000 0.5002
0.0000 0.5000 0.2564
0.5000 0.0000 0.2564
0.5000 0.5000 0.5002
```